No. 1
First-principles (PBEsol) data for a geometry-optimized RbCuPS2 structure, as listed in Alexandria via LeMat-Bulk.

Geometry as POSCAR:
```
RbCuPS2
1.0
4.828 0.000 0.000
0.000 4.828 0.000
0.000 0.000 4.391
Rb Cu P S
1 1 1 2
direct
0.000 0.000 0.000 Rb
0.500 0.500 0.500 Cu
0.500 0.500 0.000 P
0.000 0.500 0.500 S
0.500 0.000 0.500 S
```

Properties
Its total energy is -3.86 eV per atom. The symmetry is P4/mmm, No. 123. As for the crystal system: tetragonal. For the formation energy from raw total energies, the calculation gives 0.1283 eV/atom. The value obtained for the size of the total moment is 0.00 μB per cell.

=====

No. 2
First-principles (PBEsol) data for a geometry-optimized SiSn2MoN structure, as listed in Alexandria via LeMat-Bulk.

Geometry as POSCAR:
```
SiSn2MoN
1.0
5.350 0.000 0.000
0.000 5.350 0.000
0.000 0.000 3.762
Si Sn Mo N
1 2 1 1
direct
0.000 0.000 0.000 Si
0.000 0.500 0.500 Sn
0.500 0.000 0.500 Sn
0.500 0.500 0.500 Mo
0.500 0.500 0.000 N
```

Properties
Its total energy is -6.28 eV per atom. The symmetry is P4/mmm, No. 123. As for the crystal system: tetragonal. For the formation energy from raw total energies, the calculation gives 0.6352 eV/atom. The value obtained for the size of the total moment is 0.00 μB per cell.

=====

No. 3
First-principles (PBEsol) data for a geometry-optimized GaBTe3 structure, as listed in Alexandria via LeMat-Bulk.

Geometry as POSCAR:
```
GaBTe3
1.0
5.268 0.000 0.000
0.000 5.268 0.000
0.000 0.000 5.268
Ga B Te
1 1 3
direct
0.000 0.000 0.000 Ga
0.500 0.500 0.500 B
0.000 0.000 0.500 Te
0.000 0.500 0.000 Te
0.500 0.000 0.000 Te
```

Properties
Its total energy is -2.91 eV per atom. The symmetry is Pm-3m, No. 221. As for the crystal system: cubic. For the formation energy from raw total energies, the calculation gives 1.2797 eV/atom. The value obtained for the size of the total moment is 0.00 μB per cell.

=====

No. 4
First-principles (PBEsol) data for a geometry-optimized Ag2PtAu structure, as listed in Alexandria via LeMat-Bulk.

Geometry as POSCAR:
```
Ag2PtAu
1.0
-1.996 1.996 4.043
1.996 -1.996 4.043
1.996 1.996 -4.043
Ag Pt Au
2 1 1
direct
0.250 0.750 0.500 Ag
0.750 0.250 0.500 Ag
0.000 0.000 0.000 Pt
0.500 0.500 0.000 Au
```

Properties
The calculation puts the energy of formation from the pure elements at -6 meV/atom. Its total energy is -4.38 eV per atom. The symmetry is I4/mmm, No. 139. As for the crystal system: tetragonal. The value obtained for the size of the total moment is 0.00 μB per cell.

=====

No. 5
First-principles (PBEsol) data for a geometry-optimized Li2ZnGa structure, as listed in Alexandria via LeMat-Bulk.

Geometry as POSCAR:
```
Li2ZnGa
1.0
0.000 3.049 3.049
3.049 0.000 3.049
3.049 3.049 0.000
Li Zn Ga
2 1 1
direct
0.250 0.250 0.250 Li
0.750 0.750 0.750 Li
0.000 0.000 0.000 Zn
0.500 0.500 0.500 Ga
```

Properties
The calculation puts the energy of formation from the pure elements at -215 meV/atom. Its total energy is -2.43 eV per atom. The symmetry is Fm-3m, No. 225. As for the crystal system: cubic. The value obtained for the size of the total moment is 0.00 μB per cell.

=====

No. 6
First-principles (PBEsol) data for a geometry-optimized ScBe structure, as listed in Alexandria via LeMat-Bulk.

Geometry as POSCAR:
```
ScBe
1.0
4.448 0.000 0.000
0.000 3.149 0.000
0.000 0.000 4.451
Sc Be
2 2
direct
0.250 0.000 0.246 Sc
0.750 0.000 0.754 Sc
0.250 0.500 0.741 Be
0.750 0.500 0.259 Be
```

Properties
The calculation puts the energy of formation from the pure elements at -43 meV/atom. Its total energy is -5.35 eV per atom. The symmetry is Pmma, No. 51. As for the crystal system: orthorhombic. The value obtained for the size of the total moment is 0.00 μB per cell.

=====

No. 7
First-principles (PBEsol) data for a geometry-optimized FeReTcOs2 structure, as listed in Alexandria via LeMat-Bulk.

Geometry as POSCAR:
```
FeReTcOs2
1.0
4.294 0.000 0.000
0.000 4.294 0.000
0.000 0.000 4.298
Fe Re Tc Os
1 1 1 2
direct
0.000 0.000 0.000 Fe
0.000 0.000 0.500 Re
0.500 0.500 0.500 Tc
0.000 0.500 0.000 Os
0.500 0.000 0.000 Os
```

Properties
The calculation puts the energy of formation from the pure elements at 1835 meV/atom. Its total energy is -9.76 eV per atom. The symmetry is P4/mmm, No. 123. As for the crystal system: tetragonal. The value obtained for the size of the total moment is 0.09 μB per cell.

=====

No. 8
First-principles (PBEsol) data for a geometry-optimized Tl2CuReRu structure, as listed in Alexandria via LeMat-Bulk.

Geometry as POSCAR:
```
Tl2CuReRu
1.0
5.070 0.000 0.000
0.000 5.070 0.000
0.000 0.000 4.595
Tl Cu Re Ru
2 1 1 1
direct
0.000 0.500 0.000 Tl
0.500 0.000 0.000 Tl
0.000 0.000 0.500 Cu
0.500 0.500 0.500 Re
0.000 0.000 0.000 Ru
```

Properties
The calculation puts the energy of formation from the pure elements at 1875 meV/atom. Its total energy is -4.75 eV per atom. The symmetry is P4/mmm, No. 123. As for the crystal system: tetragonal. The value obtained for the size of the total moment is 4.94 μB per cell.

=====

No. 9
First-principles (PBEsol) data for a geometry-optimized NbSiNi2Cl structure, as listed in Alexandria via LeMat-Bulk.

Geometry as POSCAR:
```
NbSiNi2Cl
1.0
4.010 0.000 0.000
0.000 4.010 0.000
0.000 0.000 4.677
Nb Si Ni Cl
1 1 2 1
direct
0.000 0.000 0.000 Nb
0.500 0.500 0.000 Si
0.000 0.500 0.500 Ni
0.500 0.000 0.500 Ni
0.000 0.000 0.500 Cl
```

Properties
Its total energy is -5.65 eV per atom. The symmetry is P4/mmm, No. 123. As for the crystal system: tetragonal. For the formation energy from raw total energies, the calculation gives 0.5329 eV/atom. The value obtained for the size of the total moment is 0.00 μB per cell.

=====

No. 10
First-principles (PBEsol) data for a geometry-optimized TaSb4Pb structure, as listed in Alexandria via LeMat-Bulk.

Geometry as POSCAR:
```
TaSb4Pb
1.0
0.000 4.271 4.271
4.271 0.000 4.271
4.271 4.271 0.000
Ta Sb Pb
1 4 1
direct
0.000 0.000 0.000 Ta
0.123 0.626 0.626 Sb
0.626 0.123 0.626 Sb
0.626 0.626 0.123 Sb
0.626 0.626 0.626 Sb
0.250 0.250 0.250 Pb
```

Properties
Its total energy is -5.02 eV per atom. The symmetry is F-43m, No. 216. As for the crystal system: cubic. For the formation energy from raw total energies, the calculation gives 0.7761 eV/atom. The value obtained for the size of the total moment is 0.00 μB per cell.

=====

No. 11
First-principles (PBEsol) data for a geometry-optimized Cs3SbI6 structure, as listed in Alexandria via LeMat-Bulk.

Geometry as POSCAR:
```
Cs3SbI6
1.0
0.000 6.489 6.489
6.489 0.000 6.489
6.489 6.489 0.000
Cs Sb I
3 1 6
direct
0.000 0.000 0.000 Cs
0.250 0.250 0.250 Cs
0.750 0.750 0.750 Cs
0.500 0.500 0.500 Sb
0.270 0.270 0.730 I
0.270 0.730 0.270 I
0.270 0.730 0.730 I
0.730 0.270 0.270 I
0.730 0.270 0.730 I
0.730 0.730 0.270 I
```

Properties
Its total energy is -2.80 eV per atom. The symmetry is Fm-3m, No. 225. As for the crystal system: cubic. For the formation energy from raw total energies, the calculation gives -0.9969 eV/atom. The value obtained for the size of the total moment is 0.00 μB per cell.

=====

No. 12
First-principles (PBEsol) data for a geometry-optimized YTeRu3 structure, as listed in Alexandria via LeMat-Bulk.

Geometry as POSCAR:
```
YTeRu3
1.0
4.731 0.000 0.000
0.000 4.731 0.000
0.000 0.000 4.731
Y Te Ru
1 1 3
direct
0.000 0.000 0.000 Y
0.500 0.500 0.500 Te
0.000 0.500 0.500 Ru
0.500 0.000 0.500 Ru
0.500 0.500 0.000 Ru
```

Properties
Its total energy is -7.37 eV per atom. The symmetry is Pm-3m, No. 221. As for the crystal system: cubic. For the formation energy from raw total energies, the calculation gives 0.8047 eV/atom. The value obtained for the size of the total moment is 0.00 μB per cell.

=====

The evaluated V for the records listed, in turn: 20.464 21.536 29.241 16.106 14.179 15.582 15.851 23.626 15.044 25.977 54.642 21.172 Å³ per atom.